{"formula": "La8HoTm3", "functional": "PBE", "state": "optimized geometry", "lattice_angstrom": [[-4.418, 4.418, 5.871], [4.418, -4.418, 5.871], [4.418, 4.418, -5.871]], "species": ["La", "La", "La", "La", "La", "La", "La", "La", "Ho", "Tm", "Tm", "Tm"], "frac_coords": [[0.127, 0.127, 0.754], [0.249, 0.749, 0.000], [0.251, 0.251, 0.500], [0.373, 0.373, 0.246], [0.627, 0.873, 0.000], [0.749, 0.249, 0.000], [0.751, 0.751, 0.500], [0.873, 0.627, 0.000], [0.000, 0.000, 0.000], [0.250, 0.750, 0.500], [0.500, 0.500, 0.000], [0.750, 0.250, 0.500]], "formation_energy_mev_per_atom": 533, "magnetic_moment_mub_per_fu": 0.0, "spacegroup": "I-42m, No. 121", "dft_energy_ev_per_atom": -4.2508}